A geometry-optimized Sr2Ga5Rh3 structure. Source: Alexandria, functional PBE.

Values from the calculation:
V, Å³ per atom: 19.6
DFT formation energy, eV/f.u.: -6.3

```
data_Sr2Ga5Rh3
_chemical_formula_sum 'Sr8 Ga20 Rh12'
_cell_length_a 10.285
_cell_length_b 12.797
_cell_length_c 5.955
_cell_angle_alpha 90.00
_cell_angle_beta 90.00
_cell_angle_gamma 90.00
_symmetry_space_group_name_H-M 'I b a m'
_symmetry_Int_Tables_number 72
_symmetry_space_group_name_Hall '-I 2 2c'
loop_
_atom_site_label
_atom_site_type_symbol
_atom_site_fract_x
_atom_site_fract_y
_atom_site_fract_z
Sr1 Sr 0.228 0.140 0.000
Ga1 Ga 0.000 0.000 0.250
Ga2 Ga 0.000 0.291 0.250
Ga3 Ga 0.169 0.410 0.000
Rh1 Rh 0.000 0.500 0.250
Rh2 Rh 0.092 0.143 0.500
```